Computed, not measured: a relaxed SrTl2IrC crystal at the PBE level of DFT. Values from VASP.

* space-group type: P4/mmm (123)
* formation energy: 0.44 eV/atom

Structure (Quantum ESPRESSO input):
```
&SYSTEM
  ibrav = 0, nat = 5, ntyp = 4
/
ATOMIC_SPECIES
Sr 87.62 Sr.upf
Tl 204.38 Tl.upf
Ir 192.22 Ir.upf
C 12.01 C.upf
CELL_PARAMETERS angstrom
5.6842 0.0000 0.0000
0.0000 5.6842 0.0000
0.0000 0.0000 3.8822
ATOMIC_POSITIONS angstrom
Sr 0.0000 0.0000 0.0000
Tl 0.0000 2.8421 1.9411
Tl 2.8421 0.0000 1.9411
Ir 2.8421 2.8421 1.9411
C 2.8421 2.8421 0.0000
```